1.
The following is a DFT calculation (GGA-PBE) of crystalline HgAuBr2 at its relaxed geometry.

```
HgAuBr2
1.0
5.5179 0.0000 0.0000
0.0000 3.8003 0.0000
-1.5123 0.0000 5.8578
Hg Au Br
1 1 2
Direct
0.0000 0.0000 0.0000
0.2340 0.5000 0.8023
0.4476 0.0000 0.6124
0.7948 0.5000 0.2254
```

Results
- density (g cm⁻³) = 7.5
- energy relative to the lowest polymorph listed for this composition (eV/atom) = 0.0000
- energy relative to the elements, uncorrected (eV per atom) = -0.12
- DFT total energy (eV per atom) = -1.85

***

2.
The following is a DFT calculation (GGA-PBE) of crystalline AlCrRu2 at its relaxed geometry.

```
AlCrRu2
1.0
0.0000 3.0143 3.0143
3.0143 0.0000 3.0143
3.0143 3.0143 0.0000
Al Cr Ru
1 1 2
Direct
0.0000 0.0000 0.0000
0.7500 0.7500 0.7500
0.2500 0.2500 0.2500
0.5000 0.5000 0.5000
```

Results
- density (g cm⁻³) = 8.5
- E_form (meV/atom) = 47
- DFT total energy (eV per atom) = -7.93

***

3.
The following is a DFT calculation (GGA-PBE) of crystalline Li2Cd5Hg5 at its relaxed geometry.

```
Li2Cd5Hg5
1.0
7.6406 -2.2025 0.0000
7.6406 2.2025 0.0000
-3.7176 0.0000 8.2609
Li Cd Hg
2 5 5
Direct
0.1196 0.1196 0.2218
0.8804 0.8804 0.7782
0.0000 0.0000 0.5000
0.0883 0.0883 0.8673
0.2220 0.2220 0.6142
0.7780 0.7780 0.3858
0.9117 0.9117 0.1327
0.2841 0.2841 0.1604
0.4197 0.4197 0.6201
0.5000 0.5000 0.0000
0.5803 0.5803 0.3799
0.7159 0.7159 0.8396
```

Results
- density (g cm⁻³) = 9.4
- energy relative to the lowest polymorph listed for this composition (eV/atom) = 0.0144
- E_form (meV/atom) = -91
- DFT total energy (eV per atom) = -0.92

***

4.
The following is a DFT calculation (GGA-PBE) of crystalline MgBeCuIr at its relaxed geometry.

```
MgBeCuIr
1.0
0.0000 2.9498 2.9498
2.9498 0.0000 2.9498
2.9498 2.9498 0.0000
Mg Be Cu Ir
1 1 1 1
Direct
0.0000 0.0000 0.0000
0.5000 0.5000 0.5000
0.2500 0.2500 0.2500
0.7500 0.7500 0.7500
```

Results
- density (g cm⁻³) = 9.4
- E_form (meV/atom) = -164
- DFT total energy (eV per atom) = -4.73

***

5.
The following is a DFT calculation (GGA-PBE) of crystalline SrNbPdI2 at its relaxed geometry.

```
SrNbPdI2
1.0
5.5314 0.0000 0.0000
0.0000 5.5314 0.0000
0.0000 0.0000 5.1040
Sr Nb Pd I
1 1 1 2
Direct
0.0000 0.0000 0.0000
0.5000 0.5000 0.5000
0.5000 0.5000 0.0000
0.0000 0.5000 0.5000
0.5000 0.0000 0.5000
```

Results
- density (g cm⁻³) = 5.8
- energy relative to the elements, uncorrected (eV per atom) = -0.09
- DFT total energy (eV per atom) = -4.10

***

6.
The following is a DFT calculation (GGA-PBE) of crystalline Pm4In3Sn at its relaxed geometry.

```
Pm4In3Sn
1.0
3.7762 0.0000 0.0000
0.0000 5.5002 0.0000
0.0000 0.0000 10.9950
Pm In Sn
4 3 1
Direct
0.0000 0.0000 0.0000
0.0000 0.0000 0.5000
0.0000 0.5000 0.2480
0.0000 0.5000 0.7520
0.5000 0.0000 0.2547
0.5000 0.0000 0.7453
0.5000 0.5000 0.5000
0.5000 0.5000 0.0000
```

Results
- density (g cm⁻³) = 7.6
- energy relative to the lowest polymorph listed for this composition (eV/atom) = 0.0170
- E_form (meV/atom) = -527
- DFT total energy (eV per atom) = -4.43

***

7.
The following is a DFT calculation (GGA-PBE) of crystalline ZrTcSe2 at its relaxed geometry.

```
ZrTcSe2
1.0
-1.6173 2.2696 4.9773
1.6173 -2.2696 4.9773
1.6173 2.2696 -4.9773
Zr Tc Se
1 1 2
Direct
0.0000 0.0000 0.0000
0.7151 0.2151 0.5000
0.2360 0.7360 0.5000
0.5249 0.5249 0.0000
```

Results
- density (g cm⁻³) = 7.9
- energy relative to the lowest polymorph listed for this composition (eV/atom) = 0.2016
- energy relative to the elements, uncorrected (eV per atom) = -0.42
- DFT total energy (eV per atom) = -6.89

***

8.
The following is a DFT calculation (GGA-PBE) of crystalline RbTe2As at its relaxed geometry.

```
RbTe2As
1.0
4.1242 0.0000 0.0000
0.0419 6.1399 0.0000
0.6818 2.3917 7.1143
Rb Te As
1 2 1
Direct
0.0000 0.0000 0.0000
0.0095 0.0379 0.4844
0.4996 0.4894 0.0180
0.4966 0.3503 0.3773
```

Results
- density (g cm⁻³) = 3.8
- energy relative to the elements, uncorrected (eV per atom) = -0.36
- DFT total energy (eV per atom) = -3.33

***

9.
The following is a DFT calculation (GGA-PBE) of crystalline CdSi at its relaxed geometry.

```
CdSi
1.0
0.0000 3.0101 3.0101
3.0101 0.0000 3.0101
3.0101 3.0101 0.0000
Cd Si
1 1
Direct
0.0000 0.0000 0.0000
0.2500 0.2500 0.2500
```

Results
- density (g cm⁻³) = 4.3
- energy relative to the elements, uncorrected (eV per atom) = 0.78
- DFT total energy (eV per atom) = -2.39

***

10.
The following is a DFT calculation (GGA-PBE) of crystalline TbIn2Sn at its relaxed geometry.

```
TbIn2Sn
1.0
4.5775 0.0000 0.0000
0.0000 4.5775 0.0000
0.0000 0.0000 4.8602
Tb In Sn
1 2 1
Direct
0.0000 0.0000 0.0000
0.0000 0.5000 0.5000
0.5000 0.0000 0.5000
0.5000 0.5000 0.0000
```

Results
- density (g cm⁻³) = 8.3
- energy relative to the lowest polymorph listed for this composition (eV/atom) = 0.0000
- E_form (meV/atom) = -436
- DFT total energy (eV per atom) = -3.96